[1]
{"formula": "FeCuOsO2", "functional": "GGA+U", "state": "optimized geometry", "total_energy_ev_per_cell": -27.53, "lattice_angstrom": [[3.649, 0.000, 0.000], [0.000, 5.444, 0.000], [0.000, 0.000, 3.649]], "species": ["O", "O", "Os", "Fe", "Cu"], "frac_coords": [[0.500, 0.000, 0.000], [0.000, 0.000, 0.500], [0.000, 0.500, 0.000], [0.000, 0.000, 0.000], [0.500, 0.500, 0.500]]}

[2]
{"formula": "Fe2CuOsO6", "functional": "GGA+U", "state": "optimized geometry", "total_energy_ev_per_cell": -134.11, "lattice_angstrom": [[-4.487, 1.036, -2.469], [1.630, -2.535, -4.026], [-3.366, -7.129, 3.125]], "species": ["O", "O", "O", "O", "O", "O", "O", "O", "O", "O", "O", "O", "Cu", "Cu", "Os", "Os", "Fe", "Fe", "Fe", "Fe"], "frac_coords": [[0.668, 0.319, 0.000], [0.164, 0.274, 0.837], [0.336, 0.774, 0.337], [0.336, 0.774, 0.663], [0.836, 0.726, 0.837], [0.664, 0.226, 0.663], [0.832, 0.819, 0.500], [0.332, 0.681, 0.000], [0.164, 0.274, 0.163], [0.168, 0.181, 0.500], [0.664, 0.226, 0.337], [0.836, 0.726, 0.163], [0.500, 0.000, 0.000], [0.000, 0.500, 0.500], [0.000, 0.500, 0.000], [0.500, 0.000, 0.500], [0.000, 0.000, 0.296], [0.500, 0.500, 0.204], [0.000, 0.000, 0.704], [0.500, 0.500, 0.796]]}

[3]
{"formula": "FeCuP2O", "functional": "GGA+U", "state": "optimized geometry", "de_polymorph_kj_per_mol_atoms": 0.00, "total_energy_ev_per_cell": -21.98, "lattice_angstrom": [[-3.554, -2.112, -2.145], [2.758, -0.954, -3.630], [0.917, -3.068, 1.503]], "species": ["Fe", "O", "Cu", "P", "P"], "frac_coords": [[0.500, 0.500, 0.500], [0.000, 0.000, 0.500], [0.000, 0.000, 0.000], [0.500, 0.000, 0.000], [0.000, 0.500, 0.000]]}

[4]
{"formula": "Fe2CuP2O10", "functional": "GGA+U", "state": "optimized geometry", "total_energy_ev_per_cell": -197.53, "lattice_angstrom": [[-2.461, -2.978, 5.728], [-3.755, -6.148, -0.679], [6.871, -4.276, 0.729]], "species": ["O", "O", "O", "O", "O", "O", "O", "O", "O", "O", "O", "O", "O", "O", "O", "O", "O", "O", "O", "O", "Fe", "Fe", "Fe", "Fe", "P", "P", "P", "P", "Cu", "Cu"], "frac_coords": [[0.659, 0.634, 0.984], [0.842, 0.354, 0.536], [0.158, 0.146, 0.036], [0.932, 0.114, 0.293], [0.558, 0.425, 0.304], [0.068, 0.386, 0.793], [0.341, 0.366, 0.016], [0.211, 0.800, 0.137], [0.211, 0.300, 0.363], [0.659, 0.134, 0.516], [0.158, 0.646, 0.464], [0.442, 0.575, 0.696], [0.558, 0.925, 0.196], [0.068, 0.886, 0.706], [0.932, 0.614, 0.206], [0.842, 0.854, 0.964], [0.789, 0.700, 0.637], [0.789, 0.200, 0.863], [0.442, 0.075, 0.804], [0.341, 0.866, 0.484], [0.742, 0.478, 0.777], [0.258, 0.522, 0.223], [0.258, 0.022, 0.277], [0.742, 0.978, 0.723], [0.742, 0.756, 0.093], [0.742, 0.256, 0.407], [0.258, 0.244, 0.907], [0.258, 0.744, 0.593], [0.000, 0.500, 0.500], [0.000, 0.000, 0.000]]}

[5]
{"formula": "Fe2CuP4O14", "functional": "GGA+U", "state": "optimized geometry", "total_energy_ev_per_cell": -293.16, "lattice_angstrom": [[-4.701, -1.587, -1.730], [-0.139, -4.742, 4.728], [-7.199, 5.825, 14.221]], "species": ["O", "O", "O", "O", "O", "O", "O", "O", "O", "O", "O", "O", "O", "O", "O", "O", "O", "O", "O", "O", "O", "O", "O", "O", "O", "O", "O", "O", "Fe", "Fe", "Fe", "Fe", "P", "P", "P", "P", "P", "P", "P", "P", "Cu", "Cu"], "frac_coords": [[0.038, 0.472, 0.589], [0.204, 0.257, 0.988], [0.932, 0.379, 0.117], [0.997, 0.034, 0.881], [0.462, 0.472, 0.089], [0.724, 0.871, 0.758], [0.223, 0.356, 0.330], [0.776, 0.871, 0.258], [0.796, 0.743, 0.012], [0.723, 0.644, 0.170], [0.704, 0.743, 0.512], [0.503, 0.034, 0.381], [0.568, 0.379, 0.617], [0.224, 0.129, 0.742], [0.025, 0.986, 0.381], [0.538, 0.528, 0.911], [0.962, 0.528, 0.411], [0.276, 0.129, 0.242], [0.003, 0.966, 0.119], [0.432, 0.621, 0.383], [0.497, 0.966, 0.619], [0.277, 0.356, 0.830], [0.777, 0.644, 0.670], [0.975, 0.014, 0.619], [0.068, 0.621, 0.883], [0.296, 0.257, 0.488], [0.525, 0.014, 0.119], [0.475, 0.986, 0.881], [0.248, 0.216, 0.119], [0.748, 0.784, 0.381], [0.752, 0.784, 0.881], [0.252, 0.216, 0.619], [0.752, 0.885, 0.668], [0.270, 0.450, 0.906], [0.230, 0.450, 0.406], [0.248, 0.115, 0.332], [0.730, 0.550, 0.094], [0.770, 0.550, 0.594], [0.748, 0.885, 0.168], [0.252, 0.115, 0.832], [0.000, 0.000, 0.000], [0.500, 0.000, 0.500]]}

[6]
{"formula": "FeCuP2O", "functional": "GGA+U", "state": "optimized geometry", "de_polymorph_kj_per_mol_atoms": 4.02, "total_energy_ev_per_cell": -21.78, "lattice_angstrom": [[4.600, 0.000, 0.000], [0.000, 4.600, 0.000], [0.000, 0.000, 3.312]], "species": ["P", "P", "Cu", "Fe", "O"], "frac_coords": [[0.000, 0.500, 0.000], [0.500, 0.000, 0.000], [0.500, 0.500, 0.500], [0.000, 0.000, 0.000], [0.000, 0.000, 0.500]]}

[7]
{"formula": "FeCu3P4O16", "functional": "GGA+U", "state": "optimized geometry", "total_energy_ev_per_cell": -155.73, "lattice_angstrom": [[-2.037, -5.405, 1.634], [3.630, -0.253, 3.690], [-5.924, 4.326, 6.924]], "species": ["P", "P", "P", "P", "O", "O", "O", "O", "O", "O", "O", "O", "O", "O", "O", "O", "O", "O", "O", "O", "Cu", "Cu", "Cu", "Fe"], "frac_coords": [[0.000, 0.561, 0.890], [0.000, 0.921, 0.393], [0.500, 0.454, 0.115], [0.500, 0.075, 0.604], [0.000, 0.600, 0.041], [0.697, 0.295, 0.177], [0.191, 0.732, 0.821], [0.500, 0.777, 0.638], [0.809, 0.732, 0.821], [0.000, 0.279, 0.861], [0.000, 0.872, 0.544], [0.199, 0.782, 0.328], [0.500, 0.100, 0.449], [0.708, 0.205, 0.660], [0.000, 0.217, 0.360], [0.500, 0.743, 0.145], [0.801, 0.782, 0.328], [0.292, 0.205, 0.660], [0.500, 0.437, 0.962], [0.303, 0.295, 0.177], [0.000, 0.364, 0.186], [0.500, 0.869, 0.315], [0.500, 0.656, 0.812], [0.000, 0.047, 0.710]]}

[8]
{"formula": "Fe3Cu2SnP6O24", "functional": "GGA+U", "state": "optimized geometry", "total_energy_ev_per_cell": -244.15, "lattice_angstrom": [[-5.359, 6.699, -0.197], [-8.394, -1.299, 1.223], [-3.645, 2.678, 7.293]], "species": ["O", "O", "O", "O", "O", "O", "O", "O", "O", "O", "O", "O", "O", "O", "O", "O", "O", "O", "O", "O", "O", "O", "O", "O", "P", "P", "P", "P", "P", "P", "Cu", "Cu", "Fe", "Fe", "Fe", "Sn"], "frac_coords": [[0.109, 0.320, 0.501], [0.687, 0.498, 0.887], [0.816, 0.604, 0.015], [0.438, 0.244, 0.588], [0.742, 0.942, 0.092], [0.320, 0.501, 0.109], [0.066, 0.907, 0.254], [0.755, 0.410, 0.560], [0.942, 0.092, 0.742], [0.389, 0.995, 0.182], [0.254, 0.066, 0.907], [0.995, 0.182, 0.389], [0.410, 0.560, 0.755], [0.182, 0.389, 0.995], [0.498, 0.887, 0.687], [0.588, 0.438, 0.244], [0.604, 0.015, 0.816], [0.501, 0.109, 0.320], [0.015, 0.816, 0.604], [0.887, 0.687, 0.498], [0.092, 0.742, 0.942], [0.560, 0.755, 0.410], [0.907, 0.254, 0.066], [0.244, 0.588, 0.438], [0.748, 0.451, 0.048], [0.451, 0.048, 0.748], [0.954, 0.254, 0.541], [0.048, 0.748, 0.451], [0.541, 0.954, 0.254], [0.254, 0.541, 0.954], [0.004, 0.004, 0.004], [0.500, 0.500, 0.500], [0.145, 0.145, 0.145], [0.643, 0.643, 0.643], [0.355, 0.355, 0.355], [0.857, 0.857, 0.857]]}